No. 1
A plane-wave DFT calculation with GGA-PBE was carried out for crystalline In2TcSe at its relaxed geometry.

```
data_In2TcSe
_chemical_formula_sum 'In6 Tc3 Se3'
_symmetry_space_group_name_H-M 'R -3 m'
_symmetry_Int_Tables_number 166
_symmetry_space_group_name_Hall '-R 3 2"'
_cell_length_a 3.4649
_cell_length_b 3.4649
_cell_length_c 24.1126
_cell_angle_alpha 90.00
_cell_angle_beta 90.00
_cell_angle_gamma 120.00
loop_
_atom_site_label
_atom_site_fract_x
_atom_site_fract_y
_atom_site_fract_z
In1 0.0000 0.0000 0.2484
Tc1 0.0000 0.0000 0.5000
Se1 0.0000 0.0000 0.0000
```

As for the total magnetization: 0.138 μB/atom. The total energy is -4.537 eV per atom. The calculation puts the formation energy from raw total energies at 0.295 eV/atom. The calculation puts the theoretical density at 8.1 Mg/m³.

---

No. 2
A plane-wave DFT calculation with GGA-PBE was carried out for crystalline Rb2YInC at its relaxed geometry.

```
data_Rb2YInC
_chemical_formula_sum 'Rb2 Y1 In1 C1'
_symmetry_space_group_name_H-M 'P 4/m m m'
_symmetry_Int_Tables_number 123
_symmetry_space_group_name_Hall '-P 4 2'
_cell_length_a 7.5491
_cell_length_b 7.5491
_cell_length_c 4.1912
_cell_angle_alpha 90.00
_cell_angle_beta 90.00
_cell_angle_gamma 90.00
loop_
_atom_site_label
_atom_site_fract_x
_atom_site_fract_y
_atom_site_fract_z
Rb1 0.0000 0.5000 0.0000
Y1 0.0000 0.0000 0.0000
In1 0.5000 0.5000 0.5000
C1 0.0000 0.0000 0.5000
```

The excess energy over the best structure of this formula in the dataset is 245 meV/atom. As for the total magnetization: 0.028 μB/atom. The total energy is -3.135 eV per atom. The calculation puts the theoretical density at 2.7 Mg/m³. Its formation energy is 0.94 eV per atom.

---

No. 3
A plane-wave DFT calculation with GGA-PBE was carried out for crystalline LaRuSN2 at its relaxed geometry.

```
data_LaRuSN2
_chemical_formula_sum 'La1 Ru1 S1 N2'
_symmetry_space_group_name_H-M 'P 4/m m m'
_symmetry_Int_Tables_number 123
_symmetry_space_group_name_Hall '-P 4 2'
_cell_length_a 4.0957
_cell_length_b 4.0957
_cell_length_c 6.0650
_cell_angle_alpha 90.00
_cell_angle_beta 90.00
_cell_angle_gamma 90.00
loop_
_atom_site_label
_atom_site_fract_x
_atom_site_fract_y
_atom_site_fract_z
La1 0.0000 0.0000 0.0000
Ru1 0.5000 0.5000 0.5000
S1 0.0000 0.0000 0.5000
N1 0.0000 0.5000 0.0000
```

The excess energy over the best structure of this formula in the dataset is 1702 meV/atom. As for the total magnetization: 0.653 μB/atom. The total energy is -5.635 eV per atom. The calculation puts the formation energy from raw total energies at 1.361 eV/atom. The calculation puts the theoretical density at 4.9 Mg/m³.

---

Repeat the first record exactly.
A plane-wave DFT calculation with GGA-PBE was carried out for crystalline In2TcSe at its relaxed geometry.

```
data_In2TcSe
_chemical_formula_sum 'In6 Tc3 Se3'
_symmetry_space_group_name_H-M 'R -3 m'
_symmetry_Int_Tables_number 166
_symmetry_space_group_name_Hall '-R 3 2"'
_cell_length_a 3.4649
_cell_length_b 3.4649
_cell_length_c 24.1126
_cell_angle_alpha 90.00
_cell_angle_beta 90.00
_cell_angle_gamma 120.00
loop_
_atom_site_label
_atom_site_fract_x
_atom_site_fract_y
_atom_site_fract_z
In1 0.0000 0.0000 0.2484
Tc1 0.0000 0.0000 0.5000
Se1 0.0000 0.0000 0.0000
```

As for the total magnetization: 0.138 μB/atom. The total energy is -4.537 eV per atom. The calculation puts the formation energy from raw total energies at 0.295 eV/atom. The calculation puts the theoretical density at 8.1 Mg/m³.